No. 1
## LiMn3Be (PBE-GGA)

Data for a geometry-optimized LiMn3Be structure.

## Properties
Space-group type: Pm-3m (221)
Total moment in μB/cell: 9.79
Energy of formation from the pure elements in meV/atom: 1217

Cell: 4.0912 4.0912 4.0912 Å, 90.00 90.00 90.00°
Element x y z (fractional)
Li (0.0000, 0.0000, 0.0000)
Mn (0.0000, 0.0000, 0.5000)
Mn (0.0000, 0.5000, 0.0000)
Mn (0.5000, 0.0000, 0.0000)
Be (0.5000, 0.5000, 0.5000)


No. 2
## LiMn2Be (PBE-GGA)

Data for a geometry-optimized LiMn2Be structure.

## Properties
Space-group type: I-42d (122)
Total moment in μB/cell: 0.00
Energy of formation from the pure elements in meV/atom: 599

Cell: 8.7155 8.7155 8.7155 Å, 158.73 158.73 30.26°
Element x y z (fractional)
Li (0.0000, 0.0000, 0.0000)
Li (0.7500, 0.2500, 0.5000)
Mn (0.1347, 0.1250, 0.5097)
Mn (0.3750, 0.8653, 0.9903)
Mn (0.6153, 0.6250, 0.4903)
Mn (0.8750, 0.3847, 0.0097)
Be (0.2500, 0.7500, 0.5000)
Be (0.5000, 0.5000, 0.0000)


No. 3
## LiMn3Be (PBE-GGA)

Data for a geometry-optimized LiMn3Be structure.

## Properties
Space-group type: Pm-3m (221)
Total moment in μB/cell: 10.00
Energy of formation from the pure elements in meV/atom: 678

Cell: 4.2076 4.2076 4.2076 Å, 90.00 90.00 90.00°
Element x y z (fractional)
Li (0.0000, 0.0000, 0.0000)
Mn (0.0000, 0.5000, 0.5000)
Mn (0.5000, 0.0000, 0.5000)
Mn (0.5000, 0.5000, 0.0000)
Be (0.5000, 0.5000, 0.5000)


No. 4
## LiMn2Be (PBE-GGA)

Data for a geometry-optimized LiMn2Be structure.

## Properties
Space-group type: Pm (6)
Total moment in μB/cell: 0.00
Energy of formation from the pure elements in meV/atom: 189

Cell: 2.3279 3.8639 4.6453 Å, 90.00 98.02 90.00°
Element x y z (fractional)
Li (0.0000, 0.0000, 0.0000)
Mn (0.5343, 0.0000, 0.4981)
Mn (0.7167, 0.5000, 0.2867)
Be (0.2143, 0.5000, 0.7633)


No. 5
## LiMn4Be (PBE-GGA)

Data for a geometry-optimized LiMn4Be structure.

## Properties
Space-group type: F-43m (216)
Total moment in μB/cell: 0.00
Energy of formation from the pure elements in meV/atom: 414

Cell: 4.5995 4.5995 4.5995 Å, 60.00 60.00 60.00°
Element x y z (fractional)
Li (0.0000, 0.0000, 0.0000)
Mn (0.3751, 0.3751, 0.3751)
Mn (0.3751, 0.3751, 0.8747)
Mn (0.3751, 0.8747, 0.3751)
Mn (0.8747, 0.3751, 0.3751)
Be (0.7500, 0.7500, 0.7500)


No. 6
## LiMn2Be (PBE-GGA)

Data for a geometry-optimized LiMn2Be structure.

## Properties
Space-group type: Pmmm (47)
Total moment in μB/cell: 0.25
Energy of formation from the pure elements in meV/atom: 210

Cell: 2.7720 3.8567 4.0315 Å, 90.00 90.00 90.00°
Element x y z (fractional)
Li (0.0000, 0.0000, 0.0000)
Mn (0.0000, 0.5000, 0.5000)
Mn (0.5000, 0.0000, 0.5000)
Be (0.5000, 0.5000, 0.0000)


No. 7
## LiMn2Be (PBE-GGA)

Data for a geometry-optimized LiMn2Be structure.

## Properties
Space-group type: P2/m (10)
Total moment in μB/cell: 0.74
Energy of formation from the pure elements in meV/atom: 256

Cell: 2.3009 3.9599 4.6360 Å, 90.00 103.81 90.00°
Element x y z (fractional)
Li (0.0000, 0.0000, 0.0000)
Mn (0.2404, 0.5000, 0.7419)
Mn (0.7596, 0.5000, 0.2581)
Be (0.5000, 0.0000, 0.5000)


No. 8
## LiMn2Be (PBE-GGA)

Data for a geometry-optimized LiMn2Be structure.

## Properties
Space-group type: Cmmm (65)
Total moment in μB/cell: 0.15
Energy of formation from the pure elements in meV/atom: 201

Cell: 2.3073 2.3073 8.1073 Å, 90.00 90.00 104.32°
Element x y z (fractional)
Li (0.0000, 0.0000, 0.0000)
Mn (0.5000, 0.5000, 0.2748)
Mn (0.5000, 0.5000, 0.7252)
Be (0.0000, 0.0000, 0.5000)


No. 9
## LiMn2Be (PBE-GGA)

Data for a geometry-optimized LiMn2Be structure.

## Properties
Space-group type: R-3m (166)
Total moment in μB/cell: 1.07
Energy of formation from the pure elements in meV/atom: 251

Cell: 8.5257 8.5257 8.5257 Å, 16.32 16.32 16.32°
Element x y z (fractional)
Li (0.0000, 0.0000, 0.0000)
Mn (0.2429, 0.2429, 0.2429)
Mn (0.7571, 0.7571, 0.7571)
Be (0.5000, 0.5000, 0.5000)


No. 10
## LiMn2Be (PBE-GGA)

Data for a geometry-optimized LiMn2Be structure.

## Properties
Space-group type: P4mm (99)
Total moment in μB/cell: 1.15
Energy of formation from the pure elements in meV/atom: 146

Cell: 2.7177 2.7177 6.4603 Å, 90.00 90.00 90.00°
Element x y z (fractional)
Li (0.0000, 0.0000, 0.0000)
Mn (0.0000, 0.0000, 0.5435)
Mn (0.5000, 0.5000, 0.3232)
Be (0.5000, 0.5000, 0.7391)


No. 11
## LiMn2Be (PBE-GGA)

Data for a geometry-optimized LiMn2Be structure.

## Properties
Space-group type: P4/mmm (123)
Total moment in μB/cell: 0.57
Energy of formation from the pure elements in meV/atom: 224

Cell: 2.2892 2.2892 7.9871 Å, 90.00 90.00 90.00°
Element x y z (fractional)
Li (0.0000, 0.0000, 0.0000)
Mn (0.5000, 0.5000, 0.2772)
Mn (0.5000, 0.5000, 0.7228)
Be (0.0000, 0.0000, 0.5000)


No. 12
## Li3MnBe (PBE-GGA)

Data for a geometry-optimized Li3MnBe structure.

## Properties
Space-group type: Pm-3m (221)
Total moment in μB/cell: 0.00
Energy of formation from the pure elements in meV/atom: 1186

Cell: 4.1527 4.1527 4.1527 Å, 90.00 90.00 90.00°
Element x y z (fractional)
Li (0.0000, 0.0000, 0.5000)
Li (0.0000, 0.5000, 0.0000)
Li (0.5000, 0.0000, 0.0000)
Mn (0.5000, 0.5000, 0.5000)
Be (0.0000, 0.0000, 0.0000)


No. 13
## LiMn2Be (PBE-GGA)

Data for a geometry-optimized LiMn2Be structure.

## Properties
Space-group type: C2/m (12)
Total moment in μB/cell: 0.00
Energy of formation from the pure elements in meV/atom: 247

Cell: 4.5826 4.5826 2.2993 Å, 96.99 96.99 119.51°
Element x y z (fractional)
Li (0.0000, 0.0000, 0.0000)
Mn (0.0000, 0.5000, 0.5000)
Mn (0.5000, 0.0000, 0.5000)
Be (0.5000, 0.5000, 0.0000)


No. 14
## Li4MnBe (PBE-GGA)

Data for a geometry-optimized Li4MnBe structure.

## Properties
Space-group type: F-43m (216)
Total moment in μB/cell: 3.53
Energy of formation from the pure elements in meV/atom: 407

Cell: 4.9169 4.9169 4.9169 Å, 60.00 60.00 60.00°
Element x y z (fractional)
Li (0.1255, 0.1255, 0.1255)
Li (0.1255, 0.1255, 0.6236)
Li (0.1255, 0.6236, 0.1255)
Li (0.6236, 0.1255, 0.1255)
Mn (0.7500, 0.7500, 0.7500)
Be (0.5000, 0.5000, 0.5000)


No. 15
## LiMn2Be (PBE-GGA)

Data for a geometry-optimized LiMn2Be structure.

## Properties
Space-group type: F-43m (216)
Total moment in μB/cell: 0.57
Energy of formation from the pure elements in meV/atom: 151

Cell: 3.8873 3.8873 3.8873 Å, 60.00 60.00 60.00°
Element x y z (fractional)
Li (0.0000, 0.0000, 0.0000)
Mn (0.5000, 0.5000, 0.5000)
Mn (0.7500, 0.7500, 0.7500)
Be (0.2500, 0.2500, 0.2500)


No. 16
## LiMn2Be (PBE-GGA)

Data for a geometry-optimized LiMn2Be structure.

## Properties
Space-group type: Cmm2 (35)
Total moment in μB/cell: 0.13
Energy of formation from the pure elements in meV/atom: 199

Cell: 2.3750 2.3750 8.2437 Å, 90.00 90.00 111.57°
Element x y z (fractional)
Li (0.0000, 0.0000, 0.0000)
Mn (0.0000, 0.0000, 0.4923)
Mn (0.5000, 0.5000, 0.7290)
Be (0.5000, 0.5000, 0.2639)


No. 17
## Li3MnBe (PBE-GGA)

Data for a geometry-optimized Li3MnBe structure.

## Properties
Space-group type: Pm-3m (221)
Total moment in μB/cell: 0.07
Energy of formation from the pure elements in meV/atom: 1460

Cell: 4.5551 4.5551 4.5551 Å, 90.00 90.00 90.00°
Element x y z (fractional)
Li (0.0000, 0.0000, 0.5000)
Li (0.0000, 0.5000, 0.0000)
Li (0.5000, 0.0000, 0.0000)
Mn (0.0000, 0.0000, 0.0000)
Be (0.5000, 0.5000, 0.5000)


No. 18
## LiMnBeOs (PBE-GGA)

Data for a geometry-optimized LiMnBeOs structure.

## Properties
Space-group type: F-43m (216)
Total moment in μB/cell: 0.00
Energy of formation from the pure elements in meV/atom: -9

Cell: 3.9724 3.9724 3.9724 Å, 60.00 60.00 60.00°
Element x y z (fractional)
Li (0.0000, 0.0000, 0.0000)
Mn (0.2500, 0.2500, 0.2500)
Be (0.7500, 0.7500, 0.7500)
Os (0.5000, 0.5000, 0.5000)


No. 19
## LiMnBe2Pb (PBE-GGA)

Data for a geometry-optimized LiMnBe2Pb structure.

## Properties
Space-group type: P4/mmm (123)
Total moment in μB/cell: 3.48
Energy of formation from the pure elements in meV/atom: 1203

Cell: 4.4349 4.4349 5.3272 Å, 90.00 90.00 90.00°
Element x y z (fractional)
Li (0.0000, 0.0000, 0.0000)
Mn (0.5000, 0.5000, 0.0000)
Be (0.0000, 0.5000, 0.5000)
Be (0.5000, 0.0000, 0.5000)
Pb (0.5000, 0.5000, 0.5000)


No. 20
## LiMnBeRh (PBE-GGA)

Data for a geometry-optimized LiMnBeRh structure.

## Properties
Space-group type: F-43m (216)
Total moment in μB/cell: 3.94
Energy of formation from the pure elements in meV/atom: -133

Cell: 4.0284 4.0284 4.0284 Å, 60.00 60.00 60.00°
Element x y z (fractional)
Li (0.0000, 0.0000, 0.0000)
Mn (0.2500, 0.2500, 0.2500)
Be (0.5000, 0.5000, 0.5000)
Rh (0.7500, 0.7500, 0.7500)


No. 21
## Li2MnBeSb (PBE-GGA)

Data for a geometry-optimized Li2MnBeSb structure.

## Properties
Space-group type: P4/mmm (123)
E_form (uncorrected) in meV per atom: 875
Total moment in μB/cell: 0.12

Cell: 4.2328 4.2328 4.4722 Å, 90.00 90.00 90.00°
Element x y z (fractional)
Li (0.0000, 0.5000, 0.0000)
Li (0.5000, 0.0000, 0.0000)
Mn (0.0000, 0.0000, 0.5000)
Be (0.5000, 0.5000, 0.0000)
Sb (0.5000, 0.5000, 0.5000)


No. 22
## Li2MnBeTc (PBE-GGA)

Data for a geometry-optimized Li2MnBeTc structure.

## Properties
Space-group type: P4/mmm (123)
Total moment in μB/cell: 0.00
Energy of formation from the pure elements in meV/atom: 947

Cell: 3.7917 3.7917 4.3416 Å, 90.00 90.00 90.00°
Element x y z (fractional)
Li (0.0000, 0.5000, 0.0000)
Li (0.5000, 0.0000, 0.0000)
Mn (0.0000, 0.0000, 0.5000)
Be (0.5000, 0.5000, 0.0000)
Tc (0.5000, 0.5000, 0.5000)


No. 23
## Li2MnBeTl (PBE-GGA)

Data for a geometry-optimized Li2MnBeTl structure.

## Properties
Space-group type: P4/mmm (123)
Total moment in μB/cell: 3.48
Energy of formation from the pure elements in meV/atom: 715

Cell: 4.8975 4.8975 4.2858 Å, 90.00 90.00 90.00°
Element x y z (fractional)
Li (0.0000, 0.5000, 0.0000)
Li (0.5000, 0.0000, 0.0000)
Mn (0.0000, 0.0000, 0.0000)
Be (0.0000, 0.0000, 0.5000)
Tl (0.5000, 0.5000, 0.5000)


No. 24
## LiBe2Mo (PBE-GGA)

Data for a geometry-optimized LiBe2Mo structure.

## Properties
Space-group type: P4/mmm (123)
Total moment in μB/cell: 0.00
Energy of formation from the pure elements in meV/atom: 124

Cell: 4.3757 4.3757 2.4771 Å, 90.00 90.00 90.00°
Element x y z (fractional)
Li (0.0000, 0.0000, 0.0000)
Be (0.0000, 0.5000, 0.5000)
Be (0.5000, 0.0000, 0.5000)
Mo (0.5000, 0.5000, 0.0000)


No. 25
## LiBe2Mo (PBE-GGA)

Data for a geometry-optimized LiBe2Mo structure.

## Properties
Space-group type: Immm (71)
Total moment in μB/cell: 0.00
Energy of formation from the pure elements in meV/atom: 433

Cell: 4.8492 4.8492 4.8492 Å, 149.36 128.61 61.03°
Element x y z (fractional)
Li (0.0000, 0.0000, 0.0000)
Be (0.2368, 0.7368, 0.5000)
Be (0.7632, 0.2632, 0.5000)
Mo (0.5000, 0.5000, 0.0000)


No. 26
## LiBe2Mo (PBE-GGA)

Data for a geometry-optimized LiBe2Mo structure.

## Properties
Space-group type: Imm2 (44)
Total moment in μB/cell: 0.00
Energy of formation from the pure elements in meV/atom: 187

Cell: 5.0401 5.0401 5.0401 Å, 151.92 129.00 59.23°
Element x y z (fractional)
Li (0.0000, 0.0000, 0.0000)
Be (0.5478, 0.5478, 0.0000)
Be (0.7574, 0.2574, 0.5000)
Mo (0.2914, 0.7914, 0.5000)


No. 27
## LiBe3Mo (PBE-GGA)

Data for a geometry-optimized LiBe3Mo structure.

## Properties
Space-group type: Pm-3m (221)
Total moment in μB/cell: 0.00
Energy of formation from the pure elements in meV/atom: 633

Cell: 3.6905 3.6905 3.6905 Å, 90.00 90.00 90.00°
Element x y z (fractional)
Li (0.0000, 0.0000, 0.0000)
Be (0.0000, 0.0000, 0.5000)
Be (0.0000, 0.5000, 0.0000)
Be (0.5000, 0.0000, 0.0000)
Mo (0.5000, 0.5000, 0.5000)


No. 28
## LiBe2Mo (PBE-GGA)

Data for a geometry-optimized LiBe2Mo structure.

## Properties
Space-group type: P4mm (99)
Total moment in μB/cell: 0.00
Energy of formation from the pure elements in meV/atom: 183

Cell: 2.6235 2.6235 6.7312 Å, 90.00 90.00 90.00°
Element x y z (fractional)
Li (0.0000, 0.0000, 0.0000)
Be (0.0000, 0.0000, 0.5841)
Be (0.5000, 0.5000, 0.7493)
Mo (0.5000, 0.5000, 0.3277)


No. 29
## LiBe2Mo (PBE-GGA)

Data for a geometry-optimized LiBe2Mo structure.

## Properties
Space-group type: Fm-3m (225)
Total moment in μB/cell: 0.88
Energy of formation from the pure elements in meV/atom: 312

Cell: 3.9836 3.9836 3.9836 Å, 60.00 60.00 60.00°
Element x y z (fractional)
Li (0.0000, 0.0000, 0.0000)
Be (0.2500, 0.2500, 0.2500)
Be (0.7500, 0.7500, 0.7500)
Mo (0.5000, 0.5000, 0.5000)


No. 30
## LiBe4Mo (PBE-GGA)

Data for a geometry-optimized LiBe4Mo structure.

## Properties
Space-group type: F-43m (216)
Total moment in μB/cell: 0.00
Energy of formation from the pure elements in meV/atom: 74

Cell: 4.4008 4.4008 4.4008 Å, 60.00 60.00 60.00°
Element x y z (fractional)
Li (0.0000, 0.0000, 0.0000)
Be (0.3780, 0.3780, 0.3780)
Be (0.3780, 0.3780, 0.8661)
Be (0.3780, 0.8661, 0.3780)
Be (0.8661, 0.3780, 0.3780)
Mo (0.7500, 0.7500, 0.7500)